No. 1
VASP calculation (PBE with a Hubbard U) on a relaxed structure of BaCoCu2F8.

Cell and atoms, written as CIF:
```
data_BaCoCu2F8
_cell_length_a 4.950
_cell_length_b 4.950
_cell_length_c 7.685
_cell_angle_alpha 88.83
_cell_angle_beta 88.83
_cell_angle_gamma 67.76
_space_group_name_H-M_alt 'P 1'
_space_group_IT_number 1
_space_group_name_Hall 'P 1'
loop_
_atom_site_label
_atom_site_fract_x
_atom_site_fract_y
_atom_site_fract_z
Ba1 0.000 0.000 0.500
F1 0.676 0.676 0.438
F2 0.754 0.214 0.181
F3 0.786 0.246 0.819
F4 0.246 0.786 0.819
F5 0.214 0.754 0.181
F6 0.776 0.776 0.969
F7 0.324 0.324 0.562
F8 0.224 0.224 0.031
Cu1 0.667 0.667 0.190
Cu2 0.333 0.333 0.810
Co1 0.000 0.000 0.000
```

Values from the calculation:
For the magnetization, the calculation gives 1.0 μB/f.u. The calculation puts the total energy at -55.4 eV for the cell shown.


No. 2
VASP calculation (PBE with a Hubbard U) on a relaxed structure of Ba2Co3CuF12.

Cell and atoms, written as CIF:
```
data_Ba2Co3CuF12
_cell_length_a 7.066
_cell_length_b 7.066
_cell_length_c 7.066
_cell_angle_alpha 62.56
_cell_angle_beta 62.56
_cell_angle_gamma 62.56
_space_group_name_H-M_alt 'P 1'
_space_group_IT_number 1
_space_group_name_Hall 'P 1'
loop_
_atom_site_label
_atom_site_fract_x
_atom_site_fract_y
_atom_site_fract_z
F1 0.873 0.873 0.395
F2 0.299 0.299 0.872
F3 0.128 0.701 0.701
F4 0.873 0.395 0.873
F5 0.127 0.605 0.127
F6 0.395 0.873 0.873
F7 0.872 0.299 0.299
F8 0.701 0.701 0.128
F9 0.299 0.872 0.299
F10 0.127 0.127 0.605
F11 0.605 0.127 0.127
F12 0.701 0.128 0.701
Ba1 0.615 0.615 0.615
Ba2 0.385 0.385 0.385
Cu1 0.000 0.000 0.000
Co1 0.000 0.000 0.500
Co2 0.500 0.000 0.000
Co3 0.000 0.500 0.000
```

Values from the calculation:
For the magnetization, the calculation gives 10.0 μB/f.u. The calculation puts the total energy at -90.2 eV for the cell shown.